The following is a DFT calculation (PBE) of Cr3PPd after structural relaxation.

abc: 4.254 4.254 4.254
angles: 90.00 90.00 90.00
Fractional positions:
Cr1 0.000 0.000 0.500
Cr2 0.000 0.500 0.000
Cr3 0.500 0.000 0.000
P1 0.000 0.000 0.000
Pd1 0.500 0.500 0.500

Output
**Calculated volume**: 15.39 A^3/atom
**Distance to the lowest polymorph of the same formula**: 0 kJ/mol of formula units
**SG**: Pm-3m
**Energy**: -7.383 eV per atom